A geometry-optimized Na3InBi structure. Source: Alexandria, functional PBE.

Unit cell a=5.955 b=5.955 c=5.955 alpha=90.00 beta=90.00 gamma=90.00
Positions (direct):
In1 0.500 0.500 0.500
Na1 0.000 0.500 0.000
Na2 0.500 0.000 0.000
Na3 0.000 0.000 0.500
Bi1 0.000 0.000 0.000

- volume (Å³ per atom) = 42.24
- magnetic moment (μB per formula unit) = 0.00
- ΔE to the lowest computed polymorph (eV per atom) = 0.316

A geometry-optimized NaIn5Bi3 structure. Source: Alexandria, functional PBE.

Unit cell a=6.826 b=9.478 c=9.478 alpha=120.00 beta=90.00 gamma=90.00
Positions (direct):
Na1 0.000 0.000 0.000
In1 0.000 0.667 0.333
Bi1 0.750 0.000 0.664
In2 0.000 0.333 0.667
In3 0.250 0.668 0.000
Bi2 0.250 0.336 0.000
In4 0.250 0.332 0.332
Na2 0.500 0.000 0.000
Bi3 0.750 0.664 0.000
Bi4 0.250 0.000 0.336
In5 0.750 0.668 0.668
Bi5 0.750 0.336 0.336
In6 0.750 0.332 0.000
In7 0.250 0.000 0.668
In8 0.750 0.000 0.332
In9 0.500 0.667 0.333
In10 0.500 0.333 0.667
Bi6 0.250 0.664 0.664

- volume (Å³ per atom) = 29.50
- E (eV for the cell shown) = -54.11
- magnetic moment (μB per formula unit) = 0.00

A geometry-optimized Na2In3Bi2 structure. Source: Alexandria, functional PBE.

Unit cell a=4.984 b=6.068 c=7.432 alpha=94.37 beta=90.00 gamma=114.25
Positions (direct):
Bi1 0.210 0.420 0.194
In1 0.500 0.000 0.000
Na1 0.088 0.175 0.733
Na2 0.912 0.825 0.267
Bi2 0.790 0.580 0.806
In2 0.374 0.747 0.577
In3 0.626 0.253 0.423

- volume (Å³ per atom) = 29.17
- magnetic moment (μB per formula unit) = 0.00
- ΔE to the lowest computed polymorph (eV per atom) = 0.000

A geometry-optimized Na3In2Bi2 structure. Source: Alexandria, functional PBE.

Unit cell a=5.420 b=5.420 c=8.346 alpha=100.04 beta=101.65 gamma=114.88
Positions (direct):
Na1 0.000 0.000 0.000
Bi1 0.826 0.430 0.257
Bi2 0.174 0.570 0.743
In1 0.425 0.724 0.149
In2 0.575 0.276 0.851
Na2 0.726 0.849 0.575
Na3 0.274 0.151 0.425

- volume (Å³ per atom) = 29.76
- E (eV for the cell shown) = -18.57
- magnetic moment (μB per formula unit) = 0.00

A geometry-optimized NaInBi2 structure. Source: Alexandria, functional PBE.

Unit cell a=3.961 b=3.961 c=9.569 alpha=78.06 beta=78.06 gamma=60.00
Positions (direct):
Na1 0.500 0.500 0.500
Bi1 0.743 0.743 0.772
Bi2 0.257 0.257 0.228
In1 0.000 0.000 0.000

- volume (Å³ per atom) = 31.57
- E (eV for the cell shown) = -11.97
- magnetic moment (μB per formula unit) = 0.00

A geometry-optimized Na2InBi structure. Source: Alexandria, functional PBE.

Unit cell a=4.926 b=4.762 c=4.762 alpha=90.00 beta=90.00 gamma=90.00
Positions (direct):
Na1 0.000 0.500 0.000
Na2 0.000 0.000 0.500
In1 0.500 0.500 0.500
Bi1 0.500 0.000 0.000

- volume (Å³ per atom) = 27.93
- E (eV for the cell shown) = -10.09
- magnetic moment (μB per formula unit) = 0.00

A geometry-optimized Na3InBi4 structure. Source: Alexandria, functional PBE.

Unit cell a=3.433 b=3.433 c=20.030 alpha=90.00 beta=90.00 gamma=90.00
Positions (direct):
Na1 0.500 0.500 0.500
Na2 0.500 0.500 0.744
Bi1 0.000 0.000 0.623
Bi2 0.000 0.000 0.130
Bi3 0.000 0.000 0.870
In1 0.500 0.500 0.000
Bi4 0.000 0.000 0.377
Na3 0.500 0.500 0.256

- volume (Å³ per atom) = 29.51
- magnetic moment (μB per formula unit) = 0.00
- ΔE to the lowest computed polymorph (eV per atom) = 0.000

A geometry-optimized NaInBi structure. Source: Alexandria, functional PBE.

Unit cell a=4.144 b=4.144 c=5.967 alpha=110.32 beta=110.32 gamma=90.00
Positions (direct):
Na1 0.283 0.283 0.565
Bi1 0.605 0.605 0.210
In1 0.963 0.963 0.925

- volume (Å³ per atom) = 29.75
- magnetic moment (μB per formula unit) = 0.00
- ΔE to the lowest computed polymorph (eV per atom) = 0.034

A geometry-optimized Na5InBi4 structure. Source: Alexandria, functional PBE.

Unit cell a=3.431 b=3.431 c=24.511 alpha=90.00 beta=90.00 gamma=90.00
Positions (direct):
Na1 0.500 0.500 0.101
Na2 0.500 0.500 0.300
Bi1 0.000 0.000 0.801
In1 0.000 0.000 0.000
Na3 0.500 0.500 0.700
Na4 0.500 0.500 0.899
Bi2 0.000 0.000 0.601
Bi3 0.000 0.000 0.199
Na5 0.500 0.500 0.500
Bi4 0.000 0.000 0.399

- volume (Å³ per atom) = 28.86
- magnetic moment (μB per formula unit) = 0.00
- ΔE to the lowest computed polymorph (eV per atom) = 0.000

A geometry-optimized Na2InBi3 structure. Source: Alexandria, functional PBE.

Unit cell a=6.487 b=6.487 c=8.963 alpha=97.91 beta=97.91 gamma=93.89
Positions (direct):
In1 0.906 0.094 0.750
Bi1 0.164 0.313 0.480
Na1 0.125 0.629 0.876
Bi2 0.313 0.164 0.980
Bi3 0.427 0.573 0.250
Na2 0.371 0.875 0.624
Bi4 0.836 0.687 0.520
Bi5 0.687 0.836 0.020
Na3 0.875 0.371 0.124
Na4 0.629 0.125 0.376
In2 0.094 0.906 0.250
Bi6 0.573 0.427 0.750

- volume (Å³ per atom) = 30.72
- magnetic moment (μB per formula unit) = 0.00
- ΔE to the lowest computed polymorph (eV per atom) = 0.000

A geometry-optimized Na3InBi structure. Source: Alexandria, functional PBE.

Unit cell a=5.699 b=5.699 c=5.699 alpha=90.00 beta=90.00 gamma=90.00
Positions (direct):
Na1 0.000 0.000 0.500
Na2 0.000 0.500 0.000
Bi1 0.500 0.500 0.500
Na3 0.500 0.000 0.000
In1 0.000 0.000 0.000

- volume (Å³ per atom) = 37.02
- magnetic moment (μB per formula unit) = 0.00
- ΔE to the lowest computed polymorph (eV per atom) = 0.544

A geometry-optimized NaInBi2 structure. Source: Alexandria, functional PBE.

Unit cell a=8.810 b=8.810 c=7.063 alpha=51.42 beta=51.42 gamma=90.00
Positions (direct):
Na1 0.250 0.750 0.500
Bi1 0.875 0.913 0.750
In1 0.000 0.000 0.000
Bi2 0.663 0.125 0.250
Bi3 0.375 0.337 0.750
Na2 0.500 0.500 0.000
Bi4 0.087 0.625 0.250
In2 0.750 0.250 0.500

- volume (Å³ per atom) = 32.29
- E (eV for the cell shown) = -24.40
- magnetic moment (μB per formula unit) = 0.00

- Look up the magnetic moment of the second one.
  0.00 μB per formula unit